Record 1
# HgBRuN (PBE, optimized geometry)
# - Final energy: -23.4 eV per formula unit
# - Energy relative to the lowest polymorph listed for this composition: 289 meV/atom
# - Uncorrected formation energy: 286 meV per atom
data_HgBRuN
_cell_length_a 3.506
_cell_length_b 4.621
_cell_length_c 4.031
_cell_angle_alpha 90.00
_cell_angle_beta 103.24
_cell_angle_gamma 90.00
_symmetry_space_group_name_H-M 'P 1 m 1'
_symmetry_Int_Tables_number 6
loop_
_symmetry_equiv_pos_as_xyz
'x,y,z'
'x,-y,z'
loop_
_atom_site_label
_atom_site_type_symbol
_atom_site_fract_x
_atom_site_fract_y
_atom_site_fract_z
_atom_site_occupancy
Hg1 Hg 0.000 0.000 0.000 1
B1 B 0.923 0.500 0.730 1
Ru1 Ru 0.475 0.500 0.997 1
N1 N 0.570 0.500 0.492 1


Record 2
# BeSi2Ru (PBE, optimized geometry)
# - Final energy: -23.0 eV per formula unit
# - Uncorrected formation energy: 203 meV per atom
data_BeSi2Ru
_cell_length_a 2.821
_cell_length_b 4.853
_cell_length_c 7.699
_cell_angle_alpha 90.00
_cell_angle_beta 90.00
_cell_angle_gamma 90.00
_symmetry_space_group_name_H-M 'C m m m'
_symmetry_Int_Tables_number 65
_symmetry_space_group_name_Hall '-C 2 2'
loop_
_atom_site_label
_atom_site_type_symbol
_atom_site_fract_x
_atom_site_fract_y
_atom_site_fract_z
_atom_site_occupancy
Be1 Be 0.000 0.000 0.000 1
Si1 Si 0.000 0.500 0.244 1
Ru1 Ru 0.000 0.000 0.500 1


Record 3
# Sc2InW (PBE, optimized geometry)
# - Final energy: -28.1 eV per formula unit
# - ΔH_f (0 K): 59.7 meV per atom
data_Sc2InW
_cell_length_a 2.973
_cell_length_b 5.060
_cell_length_c 5.377
_cell_angle_alpha 90.00
_cell_angle_beta 90.00
_cell_angle_gamma 90.00
_symmetry_space_group_name_H-M 'P m m 2'
_symmetry_Int_Tables_number 25
loop_
_symmetry_equiv_pos_as_xyz
'x,y,z'
'-x,-y,z'
'-x,y,z'
'x,-y,z'
loop_
_atom_site_label
_atom_site_type_symbol
_atom_site_fract_x
_atom_site_fract_y
_atom_site_fract_z
_atom_site_occupancy
Sc1 Sc 0.000 0.000 0.000 1
Sc2 Sc 0.000 0.500 0.346 1
In1 In 0.500 0.000 0.521 1
W1 W 0.500 0.500 0.853 1


Record 4
# SmHo2Cd8 (PBE, optimized geometry)
# - Final energy: -23.9 eV per formula unit
# - ΔH_f (0 K): -247.9 meV per atom
data_SmHo2Cd8
_cell_length_a 8.162
_cell_length_b 15.874
_cell_length_c 5.337
_cell_angle_alpha 90.00
_cell_angle_beta 129.11
_cell_angle_gamma 90.00
_symmetry_space_group_name_H-M 'C 1 2/m 1'
_symmetry_Int_Tables_number 12
loop_
_symmetry_equiv_pos_as_xyz
'x,y,z'
'-x,-y,-z'
'-x,y,-z'
'x,-y,z'
'x+1/2,y+1/2,z'
'-x+1/2,-y+1/2,-z'
'-x+1/2,y+1/2,-z'
'x+1/2,-y+1/2,z'
loop_
_atom_site_label
_atom_site_type_symbol
_atom_site_fract_x
_atom_site_fract_y
_atom_site_fract_z
_atom_site_occupancy
Sm1 Sm 0.000 0.000 0.000 1
Ho1 Ho 0.000 0.311 0.500 1
Cd1 Cd 0.000 0.202 0.000 1
Cd2 Cd 0.012 0.500 0.263 1
Cd3 Cd 0.232 0.131 0.743 1


Record 5
# Rb6MoAs4 (PBE, optimized geometry)
# - Final energy: -39.6 eV per formula unit
# - ΔH_f (0 K): -395.6 meV per atom
data_Rb6MoAs4
_cell_length_a 10.6886
_cell_length_b 10.6886
_cell_length_c 8.5892
_cell_angle_alpha 90.00
_cell_angle_beta 90.00
_cell_angle_gamma 120.00
_symmetry_space_group_name_H-M 'P 63 m c'
_symmetry_Int_Tables_number 186
_symmetry_space_group_name_Hall 'P 6c -2c'
loop_
_atom_site_label
_atom_site_type_symbol
_atom_site_fract_x
_atom_site_fract_y
_atom_site_fract_z
_atom_site_occupancy
Rb1 Rb 0.0651 0.5325 0.0000 1
Rb2 Rb 0.1456 0.2912 0.3187 1
Mo1 Mo 0.3333 0.6667 0.6076 1
As1 As 0.2082 0.4163 0.6980 1
As2 As 0.3333 0.6667 0.3260 1


Record 6
# LiZnSb4O8 (PBE, optimized geometry)
# - Final energy: -77.5 eV per formula unit
# - Energy relative to the lowest polymorph listed for this composition: 15 meV/atom
# - Uncorrected formation energy: -1298 meV per atom
data_LiZnSb4O8
_cell_length_a 3.558
_cell_length_b 7.921
_cell_length_c 8.493
_cell_angle_alpha 68.50
_cell_angle_beta 78.02
_cell_angle_gamma 89.84
_symmetry_space_group_name_H-M 'P 1'
_symmetry_Int_Tables_number 1
loop_
_symmetry_equiv_pos_as_xyz
'x,y,z'
loop_
_atom_site_label
_atom_site_type_symbol
_atom_site_fract_x
_atom_site_fract_y
_atom_site_fract_z
_atom_site_occupancy
Li1 Li 0.000 0.000 0.000 1
Zn1 Zn 0.088 0.356 0.948 1
Sb1 Sb 0.140 0.755 0.319 1
Sb2 Sb 0.508 0.166 0.320 1
Sb3 Sb 0.608 0.718 0.882 1
Sb4 Sb 0.756 0.332 0.630 1
O1 O 0.050 0.595 0.004 1
O2 O 0.145 0.206 0.776 1
O3 O 0.284 0.501 0.482 1
O4 O 0.406 0.892 0.425 1
O5 O 0.507 0.837 0.077 1
O6 O 0.638 0.465 0.835 1
O7 O 0.813 0.154 0.507 1
O8 O 0.989 0.128 0.157 1


> Which of these has the lowest final energy?

LiZnSb4O8


> Which value of final energy does entry 1 give?

-23.4 eV per formula unit